# 1
The following is a DFT calculation (GGA-PBE) of a geometry-optimized CrTcN2 structure.

The value obtained for the formation energy (no corrections) is 0.487 eV per atom.

a b c (Å): 5.191 5.191 5.191
angles (deg): 90.00 90.00 90.00
Space group Fm-3m (No. 225)
One atom of each set of equivalent atoms:
Cr: 0.000 0.000 0.000 x4
Tc: 0.000 0.000 0.500 x4
N: 0.250 0.250 0.250 x8

---

# 2
The following is a DFT calculation (GGA-PBE) of a geometry-optimized Nd6HgP2Se3 structure.

The value obtained for the formation energy (no corrections) is -1.532 eV per atom.

a b c (Å): 18.509 4.202 8.609
angles (deg): 90.00 103.26 90.00
Space group C2/m (No. 12)
One atom of each set of equivalent atoms:
Nd: 0.006 0.000 0.265 x4
Nd: 0.171 0.500 0.101 x4
Nd: 0.171 0.500 0.573 x4
Hg: 0.000 0.500 0.000 x2
P: 0.168 0.000 0.336 x4
Se: 0.000 0.500 0.500 x2
Se: 0.165 0.000 0.833 x4

---

# 3
The following is a DFT calculation (GGA-PBE) of a geometry-optimized PrZn3Ge2 structure.

Its formation energy is -0.301 eV per atom.

a b c (Å): 15.406 4.300 8.463
angles (deg): 90.00 121.39 90.00
Space group C2/m (No. 12)
One atom of each set of equivalent atoms:
Pr: 0.151 0.000 0.226 x4
Zn: 0.065 0.000 0.750 x4
Zn: 0.084 0.500 0.474 x4
Zn: 0.223 0.500 0.031 x4
Ge: 0.028 0.500 0.884 x4
Ge: 0.176 0.000 0.613 x4

---

# 4
The following is a DFT calculation (GGA-PBE) of a geometry-optimized Sm3Zn3Co2 structure.

Its formation energy is -0.240 eV per atom.

a b c (Å): 7.416 15.630 5.568
angles (deg): 90.00 90.00 90.00
Space group Pnma (No. 62)
One atom of each set of equivalent atoms:
Sm: 0.036 0.106 0.114 x8
Sm: 0.168 0.250 0.640 x4
Zn: 0.166 0.035 0.601 x8
Zn: 0.176 0.750 0.625 x4
Co: 0.128 0.612 0.379 x8

---

# 5
The following is a DFT calculation (GGA-PBE) of a geometry-optimized Er2Tm5Sn4 structure.

Its formation energy is -0.358 eV per atom.

a b c (Å): 20.863 4.263 7.537
angles (deg): 90.00 102.43 90.00
Space group C2/m (No. 12)
One atom of each set of equivalent atoms:
Er: 0.074 0.000 0.113 x4
Tm: 0.000 0.000 0.500 x2
Tm: 0.141 0.500 0.468 x4
Tm: 0.180 0.500 0.964 x4
Sn: 0.032 0.500 0.793 x4
Sn: 0.220 0.000 0.278 x4

---

# 6
The following is a DFT calculation (GGA-PBE) of a geometry-optimized AgB2I structure.

The value obtained for the formation energy (no corrections) is 1.476 eV per atom.

a b c (Å): 5.537 5.537 10.047
angles (deg): 90.00 90.00 90.00
Space group I-42d (No. 122)
One atom of each set of equivalent atoms:
Ag: 0.000 0.000 0.000 x4
B: 0.206 0.250 0.125 x8
I: 0.000 0.000 0.500 x4